# 1
This record from Alexandria describes a relaxed structure of LiDy2Al9. The functional is PBE.

Unit cell a=4.204 b=4.204 c=12.423 alpha=90.00 beta=90.00 gamma=90.00
Fractional positions:
Li  0.000  0.000  0.000
Dy  0.000  0.000  0.327
Dy  0.000  0.000  0.673
Al  0.000  0.500  0.150
Al  0.000  0.500  0.500
Al  0.000  0.500  0.850
Al  0.500  0.000  0.150
Al  0.500  0.000  0.500
Al  0.500  0.000  0.850
Al  0.500  0.500  0.000
Al  0.500  0.500  0.329
Al  0.500  0.500  0.671

Summary:
Its symmetry is No. 123. The total magnetization comes out at 0.000 μB/cell. Its total energy is -4.038 eV per atom. As for the energy relative to the elements: -0.3050 eV per atom.


# 2
This record from Alexandria describes a relaxed structure of Li2Dy3Al7. The functional is PBE.

Unit cell a=9.225 b=9.225 c=9.225 alpha=35.00 beta=35.00 gamma=35.00
Fractional positions:
Li  0.165  0.165  0.165
Li  0.835  0.835  0.835
Dy  0.359  0.359  0.359
Dy  0.500  0.500  0.500
Dy  0.641  0.641  0.641
Al  0.000  0.000  0.000
Al  0.085  0.085  0.576
Al  0.085  0.576  0.085
Al  0.424  0.915  0.915
Al  0.576  0.085  0.085
Al  0.915  0.424  0.915
Al  0.915  0.915  0.424

Summary:
Its symmetry is No. 166. The total magnetization comes out at 0.000 μB/cell. Its total energy is -4.049 eV per atom. As for the energy relative to the elements: -0.3967 eV per atom.


# 3
This record from Alexandria describes a relaxed structure of LiDy4Al2. The functional is PBE.

Unit cell a=8.696 b=8.696 c=8.696 alpha=34.23 beta=34.23 gamma=34.23
Fractional positions:
Li  0.000  0.000  0.000
Dy  0.130  0.130  0.130
Dy  0.383  0.383  0.383
Dy  0.617  0.617  0.617
Dy  0.870  0.870  0.870
Al  0.256  0.256  0.256
Al  0.744  0.744  0.744

Summary:
Its symmetry is No. 166. The total magnetization comes out at 0.001 μB/cell. Its total energy is -4.113 eV per atom. As for the energy relative to the elements: -0.1408 eV per atom.


# 4
This record from Alexandria describes a relaxed structure of LiDy3Al8. The functional is PBE.

Unit cell a=9.570 b=9.570 c=9.570 alpha=33.52 beta=33.52 gamma=33.52
Fractional positions:
Li  0.000  0.000  0.000
Dy  0.122  0.122  0.122
Dy  0.501  0.501  0.501
Dy  0.628  0.628  0.628
Al  0.064  0.064  0.562
Al  0.064  0.562  0.064
Al  0.065  0.563  0.563
Al  0.314  0.314  0.314
Al  0.562  0.064  0.064
Al  0.563  0.065  0.563
Al  0.563  0.563  0.065
Al  0.813  0.813  0.813

Summary:
Its symmetry is No. 160. The total magnetization comes out at 0.000 μB/cell. Its total energy is -4.205 eV per atom. As for the energy relative to the elements: -0.4001 eV per atom.


# 5
This record from Alexandria describes a relaxed structure of Li2DyAl. The functional is PBE.

Unit cell a=4.745 b=4.745 c=4.745 alpha=60.00 beta=60.00 gamma=60.00
Fractional positions:
Li  0.250  0.250  0.250
Li  0.750  0.750  0.750
Dy  0.000  0.000  0.000
Al  0.500  0.500  0.500

Summary:
Its symmetry is No. 225. The total magnetization comes out at 0.000 μB/cell. Its total energy is -3.209 eV per atom. As for the energy relative to the elements: -0.1659 eV per atom.


# 6
This record from Alexandria describes a relaxed structure of LiDy2Al. The functional is PBE.

Unit cell a=10.242 b=10.242 c=10.242 alpha=19.74 beta=19.74 gamma=19.74
Fractional positions:
Li  0.000  0.000  0.000
Dy  0.242  0.242  0.242
Dy  0.758  0.758  0.758
Al  0.500  0.500  0.500

Summary:
Its symmetry is No. 166. The total magnetization comes out at 0.001 μB/cell. Its total energy is -3.710 eV per atom. As for the energy relative to the elements: 0.0053 eV per atom. As for the offset from the most stable computed form: 0.215 eV/atom.


# 7
This record from Alexandria describes a relaxed structure of LiDy4Al. The functional is PBE.

Unit cell a=4.944 b=4.944 c=7.484 alpha=90.00 beta=90.00 gamma=90.00
Fractional positions:
Li  0.000  0.000  0.000
Dy  0.000  0.500  0.260
Dy  0.000  0.500  0.740
Dy  0.500  0.000  0.260
Dy  0.500  0.000  0.740
Al  0.500  0.500  0.500

Summary:
Its symmetry is No. 123. The total magnetization comes out at 0.000 μB/cell. Its total energy is -3.774 eV per atom. As for the energy relative to the elements: 0.2365 eV per atom.


# 8
This record from Alexandria describes a relaxed structure of LiDy2Al. The functional is PBE.

Unit cell a=5.150 b=5.150 c=5.150 alpha=60.00 beta=60.00 gamma=60.00
Fractional positions:
Li  0.000  0.000  0.000
Dy  0.250  0.250  0.250
Dy  0.750  0.750  0.750
Al  0.500  0.500  0.500

Summary:
Its symmetry is No. 225. The total magnetization comes out at 0.000 μB/cell. Its total energy is -3.925 eV per atom. As for the energy relative to the elements: -0.2102 eV per atom. As for the offset from the most stable computed form: 0.000 eV/atom.


# 9
This record from Alexandria describes a relaxed structure of LiDyAl2. The functional is PBE.

Unit cell a=4.354 b=4.354 c=4.480 alpha=90.00 beta=90.00 gamma=104.68
Fractional positions:
Li  0.000  0.000  0.000
Dy  0.500  0.500  0.000
Al  0.192  0.808  0.500
Al  0.808  0.192  0.500

Summary:
Its symmetry is No. 65. The total magnetization comes out at 0.000 μB/cell. Its total energy is -3.485 eV per atom. As for the energy relative to the elements: 0.0155 eV per atom. As for the offset from the most stable computed form: 0.278 eV/atom.


# 10
This record from Alexandria describes a relaxed structure of LiDyAl. The functional is PBE.

Unit cell a=6.064 b=6.064 c=6.064 alpha=147.28 beta=147.28 gamma=46.95
Fractional positions:
Li  0.000  0.000  0.000
Dy  0.298  0.298  0.000
Al  0.620  0.620  0.000

Summary:
Its symmetry is No. 107. The total magnetization comes out at 0.193 μB/cell. Its total energy is -3.515 eV per atom. As for the energy relative to the elements: -0.0957 eV per atom. As for the offset from the most stable computed form: 0.108 eV/atom.


# 11
This record from Alexandria describes a relaxed structure of LiDy3Al2. The functional is PBE.

Unit cell a=5.123 b=5.123 c=12.592 alpha=90.00 beta=90.00 gamma=120.00
Fractional positions:
Li  0.333  0.667  0.170
Li  0.667  0.333  0.830
Dy  0.000  0.000  0.254
Dy  0.000  0.000  0.746
Dy  0.333  0.667  0.418
Dy  0.333  0.667  0.916
Dy  0.667  0.333  0.084
Dy  0.667  0.333  0.582
Al  0.000  0.000  0.000
Al  0.000  0.000  0.500
Al  0.333  0.667  0.672
Al  0.667  0.333  0.328

Summary:
Its symmetry is No. 164. The total magnetization comes out at 0.000 μB/cell. Its total energy is -4.149 eV per atom. As for the energy relative to the elements: -0.2816 eV per atom. As for the offset from the most stable computed form: 0.000 eV/atom.


# 12
This record from Alexandria describes a relaxed structure of LiDy2Al. The functional is PBE.

Unit cell a=5.102 b=5.102 c=3.713 alpha=90.00 beta=90.00 gamma=90.00
Fractional positions:
Li  0.000  0.000  0.000
Dy  0.000  0.500  0.500
Dy  0.500  0.000  0.500
Al  0.500  0.500  0.000

Summary:
Its symmetry is No. 123. The total magnetization comes out at 0.000 μB/cell. Its total energy is -3.902 eV per atom. As for the energy relative to the elements: -0.1864 eV per atom. As for the offset from the most stable computed form: 0.024 eV/atom.


Q: Which formula does entry 12 have?
A: LiDy2Al